1.
DFT (PBE-GGA) results for a relaxed Ti2Nb2Rh7 crystal.

The total energy is -8.208 eV per atom.

a b c (Å): 9.6574 8.0527 4.6402
angles (deg): 90.00 94.85 90.00
Closest atoms and distances in Å follow each position.
Space group C2/m (No. 12)
Inequivalent atoms, fractional coordinates:
1 Ti 0.0000 0.2152 0.0000 (multiplicity 4)  4 Rh 2.47-2.64
2 Nb 0.2350 0.5000 0.7760 (multiplicity 4)  8 Rh 2.63-2.85
3 Rh 0.0000 0.0000 0.5000 (multiplicity 2)  4 Rh 2.63, 4 Ti 2.90
4 Rh 0.0524 0.5000 0.2681 (multiplicity 4)  4 Rh 2.45-2.70, 2 Ti 2.64
5 Rh 0.2093 0.1754 0.7363 (multiplicity 8)  1 Ti 2.47, 3 Rh 2.63-2.70, 2 Nb 2.63-2.68

2.
DFT (PBE-GGA) results for a relaxed Ta2GaSb crystal.

The value obtained for the formation energy from raw total energies is 0.349 eV/atom. The total energy is -7.365 eV per atom.

a b c (Å): 4.0395 4.0395 19.8947
angles (deg): 90.00 90.00 90.00
Closest atoms and distances in Å follow each position.
Space group I-42d (No. 122)
Inequivalent atoms, fractional coordinates:
1 Ta 0.2371 0.2500 0.1250 (multiplicity 8)  4 Ta 2.78-2.93, 2 Ga 2.85, 2 Sb 2.89
2 Ga 0.0000 0.0000 0.0000 (multiplicity 4)  4 Ta 2.85, 4 Sb 2.86
3 Sb 0.0000 0.0000 0.5000 (multiplicity 4)  4 Ga 2.86, 4 Ta 2.89

3.
DFT (PBE-GGA) results for a relaxed SmHo2Tl3Se6 crystal.

The value obtained for the formation energy from raw total energies is -1.383 eV/atom. The total energy is -4.873 eV per atom.

a b c (Å): 7.2820 12.6125 8.1413
angles (deg): 90.00 107.34 90.00
Closest atoms and distances in Å follow each position.
Space group C2/m (No. 12)
Inequivalent atoms, fractional coordinates:
1 Sm 0.0000 0.0000 0.0000 (multiplicity 2)  6 Se 2.94
2 Ho 0.0000 0.3333 0.0000 (multiplicity 4)  6 Se 2.88-2.89
3 Tl 0.0000 0.1655 0.5000 (multiplicity 4)  6 Se 3.31-3.35
4 Tl 0.0000 0.5000 0.5000 (multiplicity 2)  6 Se 3.31-3.35
5 Se 0.2284 0.5000 0.2040 (multiplicity 4)  2 Ho 2.88, 1 Sm 2.94
6 Se 0.2383 0.1699 0.2054 (multiplicity 8)  2 Ho 2.89, 1 Sm 2.94

4.
DFT (PBE-GGA) results for a relaxed ErSiBOs2 crystal.

The value obtained for the formation energy from raw total energies is -0.536 eV/atom. The total energy is -8.360 eV per atom.

a b c (Å): 3.9600 11.1004 7.1339
angles (deg): 90.00 90.00 90.00
Closest atoms and distances in Å follow each position.
Space group Cmcm (No. 63)
Inequivalent atoms, fractional coordinates:
1 Er 0.0000 0.0477 0.2500 (multiplicity 4)  4 B 2.72
2 Si 0.0000 0.2312 0.7500 (multiplicity 4)  6 Os 2.47-2.48
3 B 0.0000 0.5000 0.0000 (multiplicity 4)  2 Os 1.96
4 Os 0.0000 0.3278 0.0625 (multiplicity 8)  1 B 1.96

no.,total moment (μB per atom),volume (Å³/atom)
1,0.000,16.34
2,0.000,20.29
3,0.000,29.74
4,0.000,15.68